No. 1
# SmPuNp2P4 PBE-GGA relaxed
# Magnetization in μB per atom: 0.624
data_SmPuNp2P4
_space_group_name_H-M_alt 'P 1 2/m 1'
_space_group_IT_number 10
_cell_length_a 6.907
_cell_length_b 3.991
_cell_length_c 6.958
_cell_angle_alpha 90.00
_cell_angle_beta 109.35
_cell_angle_gamma 90.00
loop_
_space_group_symop_operation_xyz
'x,y,z'
'-x,-y,-z'
'-x,y,-z'
'x,-y,z'
loop_
_atom_site_label
_atom_site_type_symbol
_atom_site_fract_x
_atom_site_fract_y
_atom_site_fract_z
Sm1 Sm 0.000 0.000 0.000
Pu1 Pu 0.500 0.500 0.000
Np1 Np 0.000 0.500 0.500
Np2 Np 0.500 0.000 0.500
P1 P 0.253 0.000 0.744
P2 P 0.259 0.500 0.260

***

No. 2
# PuPa2Tc PBE-GGA relaxed
# Polymorph energy (0 for the lowest one) in eV/atom: 0.045
# Magnetization in μB per atom: 1.672
data_PuPa2Tc
_space_group_name_H-M_alt 'F m -3 m'
_space_group_IT_number 225
_space_group_name_Hall '-F 4 2 3'
_cell_length_a 6.992
_cell_length_b 6.992
_cell_length_c 6.992
_cell_angle_alpha 90.00
_cell_angle_beta 90.00
_cell_angle_gamma 90.00
loop_
_atom_site_label
_atom_site_type_symbol
_atom_site_fract_x
_atom_site_fract_y
_atom_site_fract_z
Pu1 Pu 0.000 0.000 0.000
Pa1 Pa 0.250 0.250 0.250
Tc1 Tc 0.000 0.000 0.500

***

No. 3
# Tm6HgP2S3 PBE-GGA relaxed
# E_form (uncorrected) in eV per atom: -1.56
# Magnetization in μB per atom: 0.000
data_Tm6HgP2S3
_space_group_name_H-M_alt 'C 1 2/m 1'
_space_group_IT_number 12
_cell_length_a 17.263
_cell_length_b 3.900
_cell_length_c 8.014
_cell_angle_alpha 90.00
_cell_angle_beta 103.46
_cell_angle_gamma 90.00
loop_
_space_group_symop_operation_xyz
'x,y,z'
'-x,-y,-z'
'-x,y,-z'
'x,-y,z'
'x+1/2,y+1/2,z'
'-x+1/2,-y+1/2,-z'
'-x+1/2,y+1/2,-z'
'x+1/2,-y+1/2,z'
loop_
_atom_site_label
_atom_site_type_symbol
_atom_site_fract_x
_atom_site_fract_y
_atom_site_fract_z
Tm1 Tm 0.001 0.000 0.268
Tm2 Tm 0.170 0.500 0.577
Tm3 Tm 0.172 0.500 0.094
Hg1 Hg 0.000 0.500 0.000
P1 P 0.167 0.000 0.335
S1 S 0.000 0.500 0.500
S2 S 0.168 0.000 0.831

***

No. 4
# NiAs7 PBE-GGA relaxed
# Magnetization in μB per atom: 0.000
data_NiAs7
_space_group_name_H-M_alt 'F m -3 m'
_space_group_IT_number 225
_space_group_name_Hall '-F 4 2 3'
_cell_length_a 8.354
_cell_length_b 8.354
_cell_length_c 8.354
_cell_angle_alpha 90.00
_cell_angle_beta 90.00
_cell_angle_gamma 90.00
loop_
_atom_site_label
_atom_site_type_symbol
_atom_site_fract_x
_atom_site_fract_y
_atom_site_fract_z
Ni1 Ni 0.000 0.000 0.000
As1 As 0.000 0.000 0.500
As2 As 0.000 0.250 0.250

***

| no. | total DFT energy (no corrections) (eV/atom) | volume (A^3/atom) | DOS at the Fermi energy (states/eV per atom) |
| --- | --- | --- | --- |
| 1 | -9.4010 | 22.63 | 3.51 |
| 2 | -10.9311 | 21.37 | 2.53 |
| 3 | -5.7523 | 21.86 | 0.39 |
| 4 | -4.2906 | 18.22 | 0.69 |